Record 1
{"formula": "NdSm3Sb3", "functional": "PBEsol", "state": "optimized geometry", "volume_a3_per_atom": 28.50, "sg": "Cc (9)", "e_form_raw_ev_per_atom": -1.092, "total_magnetization_mub_per_fu": 0.00, "dos_ef_per_ev_atom": 0.910, "cell": [[4.638, -6.565, 0.000], [4.638, 6.565, 0.000], [-4.637, 0.000, 6.553]], "species": ["Nd", "Nd", "Sm", "Sm", "Sm", "Sm", "Sm", "Sm", "Sb", "Sb", "Sb", "Sb", "Sb", "Sb"], "fractional_positions": [[0.071, 0.929, 0.500], [0.929, 0.071, 0.000], [0.071, 0.428, 0.499], [0.213, 0.715, 0.144], [0.428, 0.071, 0.999], [0.572, 0.573, 0.358], [0.573, 0.572, 0.858], [0.715, 0.213, 0.644], [0.199, 0.326, 0.877], [0.326, 0.199, 0.377], [0.446, 0.820, 0.625], [0.693, 0.947, 0.249], [0.820, 0.446, 0.125], [0.947, 0.693, 0.749]]}

***

Record 2
{"formula": "NdSm3Sb3", "functional": "PBEsol", "state": "optimized geometry", "volume_a3_per_atom": 28.51, "sg": "P2_13 (198)", "e_form_raw_ev_per_atom": -1.091, "total_magnetization_mub_per_fu": 0.00, "dos_ef_per_ev_atom": 0.911, "cell": [[9.276, 0.000, 0.000], [0.000, 9.276, 0.000], [0.000, 0.000, 9.276]], "species": ["Nd", "Nd", "Nd", "Nd", "Sm", "Sm", "Sm", "Sm", "Sm", "Sm", "Sm", "Sm", "Sm", "Sm", "Sm", "Sm", "Sb", "Sb", "Sb", "Sb", "Sb", "Sb", "Sb", "Sb", "Sb", "Sb", "Sb", "Sb"], "fractional_positions": [[0.071, 0.429, 0.571], [0.429, 0.571, 0.071], [0.571, 0.071, 0.429], [0.929, 0.929, 0.929], [0.073, 0.573, 0.927], [0.179, 0.179, 0.179], [0.179, 0.821, 0.321], [0.321, 0.179, 0.821], [0.321, 0.821, 0.679], [0.427, 0.427, 0.427], [0.573, 0.927, 0.073], [0.679, 0.321, 0.821], [0.679, 0.679, 0.679], [0.821, 0.321, 0.179], [0.821, 0.679, 0.321], [0.927, 0.073, 0.573], [0.001, 0.252, 0.877], [0.123, 0.501, 0.248], [0.248, 0.123, 0.501], [0.252, 0.877, 0.001], [0.377, 0.499, 0.748], [0.499, 0.748, 0.377], [0.501, 0.248, 0.123], [0.623, 0.999, 0.752], [0.748, 0.377, 0.499], [0.752, 0.623, 0.999], [0.877, 0.001, 0.252], [0.999, 0.752, 0.623]]}

***

Record 3
{"formula": "NdSbTe", "functional": "PBEsol", "state": "optimized geometry", "volume_a3_per_atom": 28.76, "sg": "P4/nmm (129)", "e_form_raw_ev_per_atom": -1.210, "total_magnetization_mub_per_fu": 0.00, "dos_ef_per_ev_atom": 0.288, "cell": [[4.294, 0.000, 0.000], [0.000, 4.294, 0.000], [0.000, 0.000, 9.357]], "species": ["Nd", "Nd", "Sb", "Sb", "Te", "Te"], "fractional_positions": [[0.250, 0.250, 0.226], [0.750, 0.750, 0.774], [0.250, 0.750, 0.500], [0.750, 0.250, 0.500], [0.250, 0.250, 0.876], [0.750, 0.750, 0.124]]}

***

Record 4
{"formula": "Nd3TiSb5", "functional": "PBEsol", "state": "optimized geometry", "volume_a3_per_atom": 25.71, "sg": "P6_3/mcm (193)", "e_form_raw_ev_per_atom": -0.960, "total_magnetization_mub_per_fu": 0.00, "dos_ef_per_ev_atom": 0.323, "cell": [[9.312, 0.000, 0.000], [-4.656, 8.064, 0.000], [0.000, 0.000, 6.162]], "species": ["Nd", "Nd", "Nd", "Nd", "Nd", "Nd", "Ti", "Ti", "Sb", "Sb", "Sb", "Sb", "Sb", "Sb", "Sb", "Sb", "Sb", "Sb"], "fractional_positions": [[0.000, 0.382, 0.250], [0.000, 0.618, 0.750], [0.382, 0.000, 0.250], [0.382, 0.382, 0.750], [0.618, 0.000, 0.750], [0.618, 0.618, 0.250], [0.000, 0.000, 0.000], [0.000, 0.000, 0.500], [0.000, 0.255, 0.750], [0.000, 0.745, 0.250], [0.255, 0.000, 0.750], [0.255, 0.255, 0.250], [0.333, 0.667, 0.000], [0.333, 0.667, 0.500], [0.667, 0.333, 0.000], [0.667, 0.333, 0.500], [0.745, 0.000, 0.250], [0.745, 0.745, 0.750]]}

***

Record 5
{"formula": "Nd3ZrSb5", "functional": "PBEsol", "state": "optimized geometry", "volume_a3_per_atom": 26.47, "sg": "P6_3/mcm (193)", "e_form_raw_ev_per_atom": -1.015, "total_magnetization_mub_per_fu": 0.00, "dos_ef_per_ev_atom": 0.361, "cell": [[9.387, 0.000, 0.000], [-4.694, 8.129, 0.000], [0.000, 0.000, 6.243]], "species": ["Nd", "Nd", "Nd", "Nd", "Nd", "Nd", "Zr", "Zr", "Sb", "Sb", "Sb", "Sb", "Sb", "Sb", "Sb", "Sb", "Sb", "Sb"], "fractional_positions": [[0.000, 0.382, 0.250], [0.000, 0.618, 0.750], [0.382, 0.000, 0.250], [0.382, 0.382, 0.750], [0.618, 0.000, 0.750], [0.618, 0.618, 0.250], [0.000, 0.000, 0.000], [0.000, 0.000, 0.500], [0.000, 0.266, 0.750], [0.000, 0.734, 0.250], [0.266, 0.000, 0.750], [0.266, 0.266, 0.250], [0.333, 0.667, 0.000], [0.333, 0.667, 0.500], [0.667, 0.333, 0.000], [0.667, 0.333, 0.500], [0.734, 0.000, 0.250], [0.734, 0.734, 0.750]]}

***

Record 6
{"formula": "NdSc3", "functional": "PBEsol", "state": "optimized geometry", "formation_enthalpy_0k_ev_per_atom": 0.04, "volume_a3_per_atom": 25.87, "sg": "P6_3/mmc (194)", "total_magnetization_mub_per_fu": 0.00, "dos_ef_per_ev_atom": 1.875, "cell": [[6.720, 0.000, 0.000], [-3.360, 5.820, 0.000], [0.000, 0.000, 5.291]], "species": ["Nd", "Nd", "Sc", "Sc", "Sc", "Sc", "Sc", "Sc"], "fractional_positions": [[0.333, 0.667, 0.250], [0.667, 0.333, 0.750], [0.162, 0.324, 0.750], [0.162, 0.838, 0.750], [0.324, 0.162, 0.250], [0.676, 0.838, 0.750], [0.838, 0.162, 0.250], [0.838, 0.676, 0.250]]}

***

Record 7
{"formula": "Nd3Sc", "functional": "PBEsol", "state": "optimized geometry", "formation_enthalpy_0k_ev_per_atom": 0.04, "volume_a3_per_atom": 30.64, "sg": "P6_3/mmc (194)", "total_magnetization_mub_per_fu": 0.00, "dos_ef_per_ev_atom": 1.606, "cell": [[7.087, 0.000, 0.000], [-3.544, 6.138, 0.000], [0.000, 0.000, 5.635]], "species": ["Nd", "Nd", "Nd", "Nd", "Nd", "Nd", "Sc", "Sc"], "fractional_positions": [[0.170, 0.340, 0.250], [0.170, 0.830, 0.250], [0.340, 0.170, 0.750], [0.660, 0.830, 0.250], [0.830, 0.170, 0.750], [0.830, 0.660, 0.750], [0.333, 0.667, 0.750], [0.667, 0.333, 0.250]]}

***

Record 8
{"formula": "Nd2ScSi2", "functional": "PBEsol", "state": "optimized geometry", "volume_a3_per_atom": 23.24, "sg": "P4/mbm (127)", "e_form_raw_ev_per_atom": -0.753, "total_magnetization_mub_per_fu": 0.00, "dos_ef_per_ev_atom": 0.761, "cell": [[7.303, 0.000, 0.000], [0.000, 7.303, 0.000], [0.000, 0.000, 4.357]], "species": ["Nd", "Nd", "Nd", "Nd", "Sc", "Sc", "Si", "Si", "Si", "Si"], "fractional_positions": [[0.177, 0.323, 0.000], [0.323, 0.823, 0.000], [0.677, 0.177, 0.000], [0.823, 0.677, 0.000], [0.000, 0.000, 0.500], [0.500, 0.500, 0.500], [0.118, 0.618, 0.500], [0.382, 0.118, 0.500], [0.618, 0.882, 0.500], [0.882, 0.382, 0.500]]}